A plane-wave DFT calculation with PBE was carried out for a geometry-optimized AgRh2Cl structure.

Unit cell a=2.8609 b=4.8738 c=9.1551 alpha=90.00 beta=90.00 gamma=90.00
With the nearest neighbours (Å) after each atom.
Space group Immm (No. 71)
Asymmetric unit:
Ag  0.0000  0.0000  0.0000 (multiplicity 2)  4 Cl 2.83, 4 Rh 2.86, 2 Ag 2.86
Rh  0.0000  0.5000  0.2295 (multiplicity 4)  2 Cl 2.54
Cl  0.0000  0.0000  0.5000 (multiplicity 2)  4 Rh 2.54, 4 Ag 2.83

Values from the calculation:
uncorrected formation energy: 0.4835 eV/atom
distance to the lowest polymorph of the same formula: 304 meV/atom
size of the total moment: 0.00 μB per cell

=====

A plane-wave DFT calculation with PBE was carried out for a geometry-optimized CaAg4F6 structure.

Unit cell a=4.5377 b=4.8323 c=7.9970 alpha=90.16 beta=96.92 gamma=91.63
With the nearest neighbours (Å) after each atom.
Space group P1 (No. 1)
Asymmetric unit:
Ca  0.0000  0.0000  0.0000 (multiplicity 1)  7 F 2.32-2.49
Ag  0.1384  0.4999  0.6824 (multiplicity 1)  4 F 2.34-2.56
Ag  0.4425  0.0105  0.6017 (multiplicity 1)  4 F 2.38-2.58
Ag  0.4814  0.4404  0.1621 (multiplicity 1)  3 F 2.22-2.49
Ag  0.8676  0.7847  0.3923 (multiplicity 1)  3 F 2.33-2.36
F  0.0274  0.5105  0.9608 (multiplicity 1)  2 Ag 2.34-2.49, 2 Ca 2.39-2.49
F  0.2875  0.8378  0.2524 (multiplicity 1)  2 Ag 2.29-2.33, 1 Ca 2.41
F  0.4899  0.0360  0.9378 (multiplicity 1)  2 Ca 2.32-2.34
F  0.5893  0.5043  0.5609 (multiplicity 1)  5 Ag 2.36-2.58
F  0.8872  0.2084  0.2492 (multiplicity 1)  2 Ag 2.22-2.35, 1 Ca 2.35
F  0.9559  0.0089  0.7065 (multiplicity 1)  1 Ca 2.33, 3 Ag 2.38-2.51

Values from the calculation:
uncorrected formation energy: -1.6950 eV/atom
size of the total moment: 0.00 μB per cell

=====

A plane-wave DFT calculation with PBE was carried out for a geometry-optimized MgSi2Ir3 structure.

Unit cell a=16.2991 b=3.9846 c=9.2874 alpha=90.00 beta=111.79 gamma=90.00
With the nearest neighbours (Å) after each atom.
Space group C2/m (No. 12)
Asymmetric unit:
Mg  0.0000  0.0000  0.0000 (multiplicity 2)  6 Ir 2.73-2.86, 6 Si 2.84-3.00
Mg  0.1476  0.0000  0.6962 (multiplicity 4)  6 Ir 2.92-3.25, 4 Si 3.00-3.02
Si  0.0404  0.5000  0.7941 (multiplicity 4)  5 Ir 2.31-2.56
Si  0.1369  0.5000  0.4461 (multiplicity 4)  7 Ir 2.32-2.57
Si  0.1878  0.0000  0.1179 (multiplicity 4)  6 Ir 2.36-2.57
Ir  0.0000  0.5000  0.5000 (multiplicity 2)  4 Si 2.46-2.56
Ir  0.0356  0.0000  0.3252 (multiplicity 4)  4 Si 2.39-2.57
Ir  0.1049  0.5000  0.1750 (multiplicity 4)  4 Si 2.37-2.57
Ir  0.1863  0.5000  0.9613 (multiplicity 4)  4 Si 2.31-2.46
Ir  0.2159  0.0000  0.3865 (multiplicity 4)  4 Si 2.32-2.54

Values from the calculation:
uncorrected formation energy: -0.5422 eV/atom
size of the total moment: 0.00 μB per cell

=====

A plane-wave DFT calculation with PBE was carried out for a geometry-optimized Y12H5Pt3 structure.

Unit cell a=15.1963 b=15.1963 c=15.1963 alpha=90.00 beta=90.00 gamma=90.00
With the nearest neighbours (Å) after each atom.
Space group Ia-3d (No. 230)
Asymmetric unit:
Y  0.0361  0.0599  0.6549 (multiplicity 96)  1 H 2.18
H  0.0000  0.0000  0.0000 (multiplicity 16)  6 Y 2.58
H  0.0000  0.2500  0.3750 (multiplicity 24)  4 Y 2.18
Pt  0.0000  0.2500  0.1250 (multiplicity 24)  8 Y 2.98-2.99

Values from the calculation:
DFT total energy: -6.179 eV/atom
size of the total moment: 0.83 μB per cell

=====

A plane-wave DFT calculation with PBE was carried out for a geometry-optimized Hf2InAg2 structure.

Unit cell a=8.2805 b=8.2805 c=3.1449 alpha=90.00 beta=90.00 gamma=90.00
With the nearest neighbours (Å) after each atom.
Space group P4/mbm (No. 127)
Asymmetric unit:
Hf  0.1681  0.3319  0.0000 (multiplicity 4)  6 Ag 2.87-2.93, 2 In 3.08, 2 Hf 3.14
In  0.0000  0.0000  0.0000 (multiplicity 2)  4 Hf 3.08, 2 In 3.14
Ag  0.1269  0.6269  0.5000 (multiplicity 4)  6 Hf 2.87-2.93, 3 Ag 2.97-3.14

Values from the calculation:
formation energy: 0.216 eV/atom
distance to the lowest polymorph of the same formula: 182 meV/atom
size of the total moment: 0.00 μB per cell

=====

A plane-wave DFT calculation with PBE was carried out for a geometry-optimized CaLa4Sc structure.

Unit cell a=9.6032 b=9.6032 c=9.6032 alpha=90.00 beta=90.00 gamma=90.00
With the nearest neighbours (Å) after each atom.
Space group F-43m (No. 216)
Asymmetric unit:
Ca  0.0000  0.0000  0.0000 (multiplicity 4)  12 La 3.99, 4 Sc 4.16
La  0.1211  0.1211  0.6211 (multiplicity 16)  6 La 3.29-3.50
Sc  0.2500  0.2500  0.2500 (multiplicity 4)  12 La 3.97, 4 Ca 4.16

Values from the calculation:
formation energy: 0.275 eV/atom
size of the total moment: 0.01 μB per cell

=====

A plane-wave DFT calculation with PBE was carried out for a geometry-optimized La2BiO structure.

Unit cell a=4.9683 b=19.2614 c=4.5383 alpha=90.00 beta=90.00 gamma=90.00
With the nearest neighbours (Å) after each atom.
Space group Cmmm (No. 65)
Asymmetric unit:
La  0.0000  0.0000  0.0000 (multiplicity 2)  4 O 2.58
La  0.0000  0.1729  0.5000 (multiplicity 4)  1 O 2.11
La  0.0000  0.5000  0.5000 (multiplicity 2)  4 O 2.77
Bi  0.0000  0.3511  0.0000 (multiplicity 4)  8 La 3.40-3.79, 4 O 3.75
O  0.0000  0.0633  0.5000 (multiplicity 4)  1 La 2.11

Values from the calculation:
uncorrected formation energy: -1.8044 eV/atom
distance to the lowest polymorph of the same formula: 18 meV/atom
size of the total moment: 0.00 μB per cell

=====

A plane-wave DFT calculation with PBE was carried out for a geometry-optimized Ac2CdReO8 structure.

Unit cell a=4.8510 b=5.1591 c=7.8433 alpha=93.48 beta=91.35 gamma=94.53
With the nearest neighbours (Å) after each atom.
Space group P-1 (No. 2)
Asymmetric unit:
Ac  0.0849  0.0279  0.2527 (multiplicity 2)  6 O 2.44-2.61
Cd  0.5000  0.5000  0.0000 (multiplicity 1)  2 O 2.03
Re  0.5000  0.5000  0.5000 (multiplicity 1)  6 O 1.89-1.92
O  0.2097  0.2510  0.5478 (multiplicity 2)  1 Re 1.89
O  0.2141  0.1892  0.9756 (multiplicity 2)  1 Cd 2.03
O  0.2887  0.5930  0.3069 (multiplicity 2)  1 Re 1.92
O  0.3588  0.7552  0.6507 (multiplicity 2)  1 Re 1.90

Values from the calculation:
uncorrected formation energy: -2.1067 eV/atom
size of the total moment: 1.05 μB per cell